1.
First-principles (PBE-GGA) data for crystalline ErUBi2 at its relaxed geometry, as listed in the Alexandria database.

POSCAR file:
```
ErUBi2
1.0
-0.7709 3.8198 -0.0289
-2.2766 -0.4226 4.8696
4.7700 0.9802 2.3151
U Bi Er
1 2 1
Direct
0.5000 0.5000 0.5000
0.0000 0.0000 0.5000
0.0000 0.5000 0.0000
0.5000 0.0000 0.0000
```

Summary:
Energy above the most stable polymorph in this dataset (kJ per mole of atoms): 13.21
VASP energy (eV/atom): -6.09
Calculated formation energy (meV per atom): -184

2.
First-principles (PBE-GGA) data for crystalline TlAs3P at its relaxed geometry, as listed in the Alexandria database.

POSCAR file:
```
TlAs3P
1.0
-1.5882 2.8309 3.6658
-2.8099 -3.6696 1.6165
3.6820 -1.5793 2.8149
P Tl As
1 1 3
Direct
0.0000 0.0000 0.0000
0.5000 0.5000 0.5000
0.0000 0.5000 0.0000
0.0000 0.0000 0.5000
0.5000 0.0000 0.0000
```

Summary:
Energy above the most stable polymorph in this dataset (kJ per mole of atoms): 0.00
VASP energy (eV/atom): -3.82
Calculated formation energy (meV per atom): 525

3.
First-principles (PBE-GGA) data for crystalline CaBiC2 at its relaxed geometry, as listed in the Alexandria database.

POSCAR file:
```
CaBiC2
1.0
-1.7136 0.4054 5.9933
-1.1454 -6.1401 0.0878
2.2286 -3.5342 4.1316
C Ca Bi
4 2 2
Direct
0.6589 0.1250 0.2500
0.0911 0.6250 0.2500
0.3750 0.3411 0.7500
0.8750 0.9089 0.7500
0.5000 0.5000 0.0000
0.2500 0.7500 0.5000
0.0000 0.0000 0.0000
0.7500 0.2500 0.5000
```

Summary:
VASP energy (eV/atom): -4.82
Calculated formation energy (meV per atom): 1260

4.
First-principles (PBE-GGA) data for crystalline GdUC at its relaxed geometry, as listed in the Alexandria database.

POSCAR file:
```
GdUC
1.0
-2.6478 -1.7884 -0.4690
-0.4342 -0.1948 3.1942
-2.1614 6.5167 -1.5289
C Gd U
1 1 1
Direct
0.1626 0.1626 0.3252
0.9837 0.9837 0.9675
0.7036 0.7036 0.4073
```

Summary:
Energy above the most stable polymorph in this dataset (kJ per mole of atoms): 25.40
VASP energy (eV/atom): -11.24
Calculated formation energy (meV per atom): 287

5.
First-principles (PBE-GGA) data for crystalline Ho13Er2 at its relaxed geometry, as listed in the Alexandria database.

POSCAR file:
```
Ho13Er2
1.0
-5.3362 -1.8359 -3.2983
2.2717 -7.6457 3.3410
-5.8301 4.1450 5.2718
Ho Er
13 2
Direct
0.7624 0.5762 0.0251
0.2376 0.4238 0.9749
0.0000 0.0000 0.0000
0.3331 0.0002 0.6665
0.6669 0.9998 0.3335
0.0954 0.5751 0.6917
0.9046 0.4249 0.3083
0.4298 0.5758 0.3589
0.5702 0.4242 0.6411
0.4662 0.8035 0.9339
0.5339 0.1965 0.0661
0.8658 0.1968 0.7320
0.1342 0.8032 0.2680
0.8010 0.8037 0.6013
0.1990 0.1963 0.3987
```

Summary:
Energy above the most stable polymorph in this dataset (kJ per mole of atoms): 0.00
VASP energy (eV/atom): -4.52
Calculated formation energy (meV per atom): 53

6.
First-principles (PBE-GGA) data for crystalline AlHg3Cl at its relaxed geometry, as listed in the Alexandria database.

POSCAR file:
```
AlHg3Cl
1.0
5.8810 0.0000 0.0000
0.0000 5.8810 0.0000
0.0000 0.0000 5.8810
Al Hg Cl
1 3 1
Direct
0.5000 0.5000 0.5000
0.0000 0.5000 0.0000
0.0000 0.0000 0.5000
0.5000 0.0000 0.0000
0.0000 0.0000 0.0000
```

Summary:
Energy above the most stable polymorph in this dataset (kJ per mole of atoms): 54.89
VASP energy (eV/atom): -0.84
Energy relative to the elements, uncorrected (eV/f.u.): 2.29

Density of states at the Fermi level in states/eV per cell, matching the order above: 5.71 4.28 4.70 4.47 29.84 1.14